Record 1
OsN PBE relaxed; excess energy over the best structure of this formula in the dataset = 201.5 meV per atom; ΔE_f (raw) = 0.6153 eV/atom
1.0
2.693 0.000 0.000
0.000 2.693 0.000
0.000 0.000 6.167
Os N
2 2
Direct
0.000 0.500 0.000 Os
0.500 0.000 0.500 Os
0.000 0.000 0.250 N
0.000 0.000 0.750 N

---

Record 2
OsN2 PBE relaxed; excess energy over the best structure of this formula in the dataset = 748.3 meV per atom; ΔE_f (raw) = 1.0361 eV/atom
1.0
4.874 0.000 0.000
0.000 4.874 0.000
0.000 0.000 4.874
Os N
4 8
Direct
0.000 0.000 0.000 Os
0.000 0.500 0.500 Os
0.500 0.000 0.500 Os
0.500 0.500 0.000 Os
0.250 0.250 0.250 N
0.250 0.250 0.750 N
0.250 0.750 0.250 N
0.250 0.750 0.750 N
0.750 0.250 0.250 N
0.750 0.250 0.750 N
0.750 0.750 0.250 N
0.750 0.750 0.750 N

---

Record 3
OsN PBE relaxed; excess energy over the best structure of this formula in the dataset = 233.9 meV per atom; ΔE_f (raw) = 0.6478 eV/atom
1.0
4.063 0.000 0.000
0.000 4.063 0.000
0.000 0.000 4.063
Os N
3 3
Direct
0.000 0.000 0.500 Os
0.000 0.500 0.000 Os
0.500 0.000 0.000 Os
0.000 0.500 0.500 N
0.500 0.000 0.500 N
0.500 0.500 0.000 N

---

Record 4
OsN2 PBE relaxed; excess energy over the best structure of this formula in the dataset = 880.4 meV per atom; ΔE_f (raw) = 1.1683 eV/atom
1.0
4.418 0.000 0.000
0.000 4.418 0.000
0.000 0.000 2.679
Os N
2 4
Direct
0.000 0.000 0.000 Os
0.500 0.500 0.000 Os
0.112 0.388 0.500 N
0.388 0.888 0.500 N
0.612 0.112 0.500 N
0.888 0.612 0.500 N

---

Record 5
OsN PBE relaxed; excess energy over the best structure of this formula in the dataset = 245.7 meV per atom; ΔE_f (raw) = 0.6596 eV/atom
1.0
2.822 0.000 0.000
-1.411 2.444 0.000
0.000 0.000 3.695
Os N
1 1
Direct
0.000 0.000 0.000 Os
0.000 0.000 0.508 N

---

Record 6
OsN2 PBE relaxed; excess energy over the best structure of this formula in the dataset = 608.8 meV per atom; ΔE_f (raw) = 0.8967 eV/atom
1.0
3.037 0.000 0.000
-1.518 2.630 0.000
0.000 0.000 7.429
Os N
2 4
Direct
0.333 0.667 0.250 Os
0.667 0.333 0.750 Os
0.000 0.000 0.088 N
0.000 0.000 0.412 N
0.000 0.000 0.588 N
0.000 0.000 0.912 N

---

Record 7
OsN PBE relaxed; excess energy over the best structure of this formula in the dataset = 157.7 meV per atom; ΔE_f (raw) = 0.5716 eV/atom
1.0
2.779 0.000 0.000
0.000 12.654 0.000
0.000 0.000 4.830
Os N
8 8
Direct
0.000 0.038 0.000 Os
0.000 0.346 0.898 Os
0.000 0.654 0.398 Os
0.000 0.962 0.500 Os
0.500 0.154 0.398 Os
0.500 0.462 0.500 Os
0.500 0.538 0.000 Os
0.500 0.846 0.898 Os
0.000 0.270 0.493 N
0.000 0.362 0.325 N
0.000 0.638 0.825 N
0.000 0.730 0.993 N
0.500 0.138 0.825 N
0.500 0.230 0.993 N
0.500 0.770 0.493 N
0.500 0.862 0.325 N

---

Record 8
OsN2 PBE relaxed; excess energy over the best structure of this formula in the dataset = 589.7 meV per atom; ΔE_f (raw) = 0.8775 eV/atom
1.0
4.876 0.000 0.000
0.000 4.876 0.000
0.000 0.000 4.876
Os N
4 8
Direct
0.000 0.000 0.000 Os
0.000 0.500 0.500 Os
0.500 0.000 0.500 Os
0.500 0.500 0.000 Os
0.084 0.584 0.916 N
0.084 0.916 0.416 N
0.416 0.084 0.916 N
0.416 0.416 0.416 N
0.584 0.584 0.584 N
0.584 0.916 0.084 N
0.916 0.084 0.584 N
0.916 0.416 0.084 N

---

Record 9
OsN PBE relaxed; excess energy over the best structure of this formula in the dataset = 640.7 meV per atom; ΔE_f (raw) = 1.0546 eV/atom
1.0
5.656 0.000 0.000
0.000 5.656 0.000
0.000 0.000 5.656
Os N
6 6
Direct
0.000 0.250 0.500 Os
0.000 0.750 0.500 Os
0.250 0.500 0.000 Os
0.500 0.000 0.250 Os
0.500 0.000 0.750 Os
0.750 0.500 0.000 Os
0.000 0.500 0.250 N
0.000 0.500 0.750 N
0.250 0.000 0.500 N
0.500 0.250 0.000 N
0.500 0.750 0.000 N
0.750 0.000 0.500 N

---

Record 10
POsN3 PBE relaxed; ΔE_f (raw) = 1.5285 eV/atom
1.0
3.866 0.000 0.000
0.000 3.866 0.000
0.000 0.000 3.866
P Os N
1 1 3
Direct
0.000 0.000 0.000 P
0.500 0.500 0.500 Os
0.000 0.500 0.500 N
0.500 0.000 0.500 N
0.500 0.500 0.000 N

---

Record 11
P2OsN PBE relaxed; ΔE_f (raw) = -0.0051 eV/atom
1.0
3.771 0.000 0.000
0.000 2.864 0.000
-0.248 0.000 4.799
P Os N
2 1 1
Direct
0.000 0.000 0.000 P
0.376 0.500 0.408 P
0.507 0.500 0.898 Os
0.092 0.000 0.361 N

---

Record 12
P2OsN PBE relaxed; ΔE_f (raw) = -0.0599 eV/atom
1.0
6.540 0.000 0.000
0.000 3.072 0.000
-2.496 0.000 5.815
P Os N
4 2 2
Direct
0.108 0.000 0.272 P
0.392 0.500 0.728 P
0.608 0.500 0.272 P
0.892 0.000 0.728 P
0.000 0.500 0.500 Os
0.500 0.000 0.500 Os
0.000 0.000 0.000 N
0.500 0.500 0.000 N

---

Record 13
P2OsN PBE relaxed; ΔE_f (raw) = 0.0773 eV/atom
1.0
2.815 0.000 0.000
1.408 2.438 0.000
1.274 0.847 9.093
P Os N
2 1 1
Direct
0.000 0.000 0.000 P
0.209 0.179 0.445 P
0.280 0.267 0.192 Os
0.851 0.815 0.534 N

---

Record 14
P2OsN PBE relaxed; ΔE_f (raw) = 0.2467 eV/atom
1.0
3.069 0.000 0.000
0.000 2.858 0.000
-1.243 0.000 6.191
P Os N
2 1 1
Direct
0.000 0.000 0.000 P
0.374 0.000 0.347 P
0.943 0.500 0.517 Os
0.075 0.500 0.863 N

---

Record 15
P2OsN PBE relaxed; ΔE_f (raw) = -0.1300 eV/atom
1.0
3.548 0.000 0.000
0.000 5.786 0.000
0.000 0.000 5.234
P Os N
4 2 2
Direct
0.000 0.224 0.000 P
0.000 0.776 0.000 P
0.500 0.276 0.500 P
0.500 0.724 0.500 P
0.000 0.000 0.400 Os
0.500 0.500 0.900 Os
0.000 0.000 0.796 N
0.500 0.500 0.296 N

---

Record 16
P2OsN PBE relaxed; ΔE_f (raw) = 0.1929 eV/atom
1.0
3.016 0.000 0.000
-1.138 4.072 0.000
-0.917 -0.960 4.146
P Os N
2 1 1
Direct
0.000 0.000 0.000 P
0.273 0.337 0.600 P
0.570 0.869 0.389 Os
0.287 0.404 0.995 N

---

Record 17
P2OsN PBE relaxed; ΔE_f (raw) = 0.3513 eV/atom
1.0
4.959 0.000 0.000
0.000 4.959 0.000
0.000 0.000 9.079
P Os N
8 4 4
Direct
0.202 0.250 0.125 P
0.250 0.702 0.375 P
0.250 0.798 0.875 P
0.298 0.250 0.625 P
0.702 0.750 0.625 P
0.750 0.202 0.875 P
0.750 0.298 0.375 P
0.798 0.750 0.125 P
0.000 0.000 0.500 Os
0.000 0.500 0.750 Os
0.500 0.000 0.250 Os
0.500 0.500 0.000 Os
0.000 0.000 0.000 N
0.000 0.500 0.250 N
0.500 0.000 0.750 N
0.500 0.500 0.500 N

---

Record 18
P2OsN PBE relaxed; ΔE_f (raw) = 0.0650 eV/atom
1.0
2.779 0.000 0.000
1.361 4.196 0.000
1.387 1.543 4.869
P Os N
2 1 1
Direct
0.000 0.000 0.000 P
0.047 0.371 0.541 P
0.791 0.954 0.465 Os
0.633 0.822 0.908 N

---

Record 19
P2OsN PBE relaxed; ΔE_f (raw) = 0.2417 eV/atom
1.0
3.773 0.000 0.000
0.715 3.998 0.000
1.445 1.421 3.532
P Os N
2 1 1
Direct
0.000 0.000 0.000 P
0.249 0.454 0.144 P
0.631 0.145 0.538 Os
0.531 0.601 0.680 N

---

Record 20
POsN3 PBE relaxed; ΔE_f (raw) = 1.3684 eV/atom
1.0
3.493 0.000 0.000
0.000 3.493 0.000
0.000 0.000 3.493
P Os N
1 1 3
Direct
0.000 0.000 0.000 P
0.500 0.500 0.500 Os
0.000 0.000 0.500 N
0.000 0.500 0.000 N
0.500 0.000 0.000 N

---

Record 21
P2OsN PBE relaxed; ΔE_f (raw) = 0.0082 eV/atom
1.0
2.785 0.000 0.000
1.158 3.558 0.000
0.330 0.473 5.492
P Os N
2 1 1
Direct
0.000 0.000 0.000 P
0.455 0.953 0.517 P
0.106 0.511 0.728 Os
0.494 0.964 0.202 N

---

Record 22
P2OsN PBE relaxed; ΔE_f (raw) = 0.0007 eV/atom
1.0
10.326 0.000 0.000
0.000 2.819 0.000
-1.142 0.000 3.631
P Os N
4 2 2
Direct
0.000 0.000 0.000 P
0.216 0.000 0.404 P
0.500 0.500 0.000 P
0.716 0.500 0.404 P
0.445 0.000 0.471 Os
0.945 0.500 0.471 Os
0.168 0.500 0.590 N
0.668 0.000 0.590 N

---

Record 23
P3OsN PBE relaxed; excess energy over the best structure of this formula in the dataset = 0.0 meV per atom; ΔE_f (raw) = 0.9005 eV/atom
1.0
3.920 0.000 0.000
0.000 3.920 0.000
0.000 0.000 3.920
P Os N
3 1 1
Direct
0.000 0.000 0.500 P
0.000 0.500 0.000 P
0.500 0.000 0.000 P
0.500 0.500 0.500 Os
0.000 0.000 0.000 N

---

Record 24
P2OsN PBE relaxed; ΔE_f (raw) = 0.1300 eV/atom
1.0
2.882 0.000 0.000
0.000 2.993 0.000
0.000 0.000 12.381
P Os N
4 2 2
Direct
0.000 0.000 0.000 P
0.000 0.500 0.500 P
0.500 0.000 0.221 P
0.500 0.500 0.721 P
0.000 0.000 0.808 Os
0.000 0.500 0.308 Os
0.500 0.000 0.082 N
0.500 0.500 0.582 N

---

Record 25
P2OsN PBE relaxed; ΔE_f (raw) = -0.0028 eV/atom
1.0
2.798 0.000 0.000
0.000 3.457 0.000
0.000 0.000 5.458
P Os N
2 1 1
Direct
0.000 0.000 0.000 P
0.500 0.000 0.483 P
0.500 0.500 0.196 Os
0.000 0.000 0.682 N

---

Record 26
P2OsN PBE relaxed; ΔE_f (raw) = 0.0837 eV/atom
1.0
7.492 0.000 0.000
0.000 2.799 0.000
-3.326 0.000 5.134
P Os N
4 2 2
Direct
0.000 0.000 0.000 P
0.240 0.500 0.560 P
0.500 0.500 0.000 P
0.740 0.000 0.560 P
0.449 0.500 0.349 Os
0.949 0.000 0.349 Os
0.130 0.500 0.004 N
0.630 0.000 0.004 N

---

Record 27
P2OsN PBE relaxed; ΔE_f (raw) = 0.2194 eV/atom
1.0
3.603 0.000 0.000
0.711 4.239 0.000
1.024 1.600 3.934
P Os N
2 1 1
Direct
0.000 0.000 0.000 P
0.338 0.596 0.731 P
0.405 0.117 0.267 Os
0.149 0.327 0.612 N